The following is a DFT calculation (PBE) of a relaxed structure of AcAl3Co.

Computed properties:
Space group: Pm-3m, No. 221
D(E_F): 3.406 states/eV/f.u.
V: 101.8 Å³/f.u.
DFT formation energy: -346 meV/atom
ΔE to the lowest computed polymorph: 65 meV per atom

Lattice parameters (Å, degrees): 4.6690 4.6690 4.6690 90.00 90.00 90.00
With the nearest neighbours (Å) after each atom.
Atoms (fractional coordinates):
1 Al 0.0000 0.5000 0.0000  2 Co 2.33
2 Co 0.0000 0.0000 0.0000  6 Al 2.33
3 Al 0.0000 0.0000 0.5000  2 Co 2.33
4 Al 0.5000 0.0000 0.0000  2 Co 2.33
5 Ac 0.5000 0.5000 0.5000  12 Al 3.30

***

The following is a DFT calculation (PBE) of a relaxed structure of AcAl3Co.

Computed properties:
Space group: Pnma, No. 62
D(E_F): 3.116 states/eV/f.u.
V: 98.0 Å³/f.u.
DFT formation energy: -411 meV/atom
ΔE to the lowest computed polymorph: 0 meV per atom

Lattice parameters (Å, degrees): 4.1453 8.4498 11.1858 90.00 90.00 90.00
With the nearest neighbours (Å) after each atom.
Atoms (fractional coordinates):
1 Al 0.7500 0.1382 0.7696  2 Co 2.52, 1 Al 2.66
2 Co 0.7500 0.8893 0.3568  7 Al 2.38-2.57
3 Ac 0.2500 0.1754 0.9979  2 Co 3.19, 9 Al 3.24-3.42
4 Al 0.7500 0.1228 0.2375  2 Co 2.38-2.49
5 Al 0.7500 0.6228 0.2625  2 Co 2.38-2.49
6 Co 0.7500 0.3893 0.1432  7 Al 2.38-2.57
7 Al 0.7500 0.4523 0.9218  3 Co 2.53-2.57, 3 Al 2.66-2.83
8 Al 0.2500 0.3618 0.2696  2 Co 2.52, 1 Al 2.66
9 Co 0.2500 0.1107 0.6432  7 Al 2.38-2.57
10 Co 0.2500 0.6107 0.8568  7 Al 2.38-2.57
11 Ac 0.7500 0.8246 0.0021  2 Co 3.19, 9 Al 3.24-3.42
12 Al 0.2500 0.5477 0.0782  3 Co 2.53-2.57, 3 Al 2.66-2.83
13 Al 0.2500 0.3772 0.7375  2 Co 2.38-2.49
14 Al 0.2500 0.8772 0.7625  2 Co 2.38-2.49
15 Al 0.7500 0.9523 0.5782  3 Co 2.53-2.57, 3 Al 2.66-2.83
16 Al 0.2500 0.0477 0.4218  3 Co 2.53-2.57, 3 Al 2.66-2.83
17 Ac 0.7500 0.3246 0.4979  2 Co 3.19, 9 Al 3.24-3.42
18 Al 0.2500 0.8618 0.2304  2 Co 2.52, 1 Al 2.66
19 Ac 0.2500 0.6754 0.5021  2 Co 3.19, 9 Al 3.24-3.42
20 Al 0.7500 0.6382 0.7304  2 Co 2.52, 1 Al 2.66

***

The following is a DFT calculation (PBE) of a relaxed structure of AcAlCo2H8.

Computed properties:
Space group: R-3, No. 148
D(E_F): 2.080 states/eV/f.u.
V: 101.0 Å³/f.u.
VASP energy: -50.91 eV for the cell shown

Lattice parameters (Å, degrees): 4.4458 4.4458 6.4359 69.79 69.79 60.00
With the nearest neighbours (Å) after each atom.
Atoms (fractional coordinates):
1 Al 0.0000 0.0000 0.0000  6 H 1.85
2 H 0.7888 0.7888 0.6335  1 Co 1.71
3 H 0.3522 0.9033 0.1362  2 Co 1.63-1.75
4 H 0.2112 0.2112 0.3665  1 Co 1.71
5 H 0.6478 0.0967 0.8638  2 Co 1.63-1.75
6 Co 0.6921 0.6921 0.9237  7 H 1.63-1.75
7 H 0.3917 0.6478 0.8638  2 Co 1.63-1.75
8 H 0.9033 0.6083 0.1362  2 Co 1.63-1.75
9 H 0.0967 0.3917 0.8638  2 Co 1.63-1.75
10 Ac 0.5000 0.5000 0.5000  12 H 2.47-2.69
11 Co 0.3079 0.3079 0.0763  7 H 1.63-1.75
12 H 0.6083 0.3522 0.1362  2 Co 1.63-1.75

***

The following is a DFT calculation (PBE) of a relaxed structure of Ac2MgAl12Co3.

Computed properties:
Space group: R-3m, No. 166
D(E_F): 8.137 states/eV/f.u.
V: 418.1 Å³/f.u.
DFT formation energy: 74 meV/atom

Lattice parameters (Å, degrees): 8.1386 8.1386 8.1386 64.42 64.42 64.42
With the nearest neighbours (Å) after each atom.
Atoms (fractional coordinates):
1 Co 0.5000 0.0000 0.0000  6 Al 2.22-2.28
2 Al 0.7248 0.7248 0.0662  2 Co 2.22
3 Al 0.2752 0.2752 0.9338  2 Co 2.22
4 Mg 0.0000 0.0000 0.0000  6 Al 2.79
5 Al 0.7248 0.0662 0.7248  2 Co 2.22
6 Ac 0.5956 0.5956 0.5956  3 Al 3.30, 1 Ac 3.68
7 Al 0.1270 0.1270 0.6014  1 Co 2.28
8 Al 0.6014 0.1270 0.1270  1 Co 2.28
9 Al 0.8730 0.3986 0.8730  1 Co 2.28
10 Ac 0.4044 0.4044 0.4044  3 Al 3.30, 1 Ac 3.68
11 Al 0.0662 0.7248 0.7248  2 Co 2.22
12 Co 0.0000 0.0000 0.5000  6 Al 2.22-2.28
13 Co 0.0000 0.5000 0.0000  6 Al 2.22-2.28
14 Al 0.3986 0.8730 0.8730  1 Co 2.28
15 Al 0.8730 0.8730 0.3986  1 Co 2.28
16 Al 0.9338 0.2752 0.2752  2 Co 2.22
17 Al 0.1270 0.6014 0.1270  1 Co 2.28
18 Al 0.2752 0.9338 0.2752  2 Co 2.22

***

What is the D(E_F) in the fourth record? 8.137 states/eV/f.u.